First-principles (SCAN) data for a crystal of Li2MgSiO4 relaxed with PBEsol, as listed in Alexandria.

Unit cell a=10.705 b=4.983 c=6.279 alpha=90.00 beta=90.00 gamma=90.00
Fractional positions:
Li  0.075  0.207  0.000
Li  0.161  0.808  0.249
Li  0.339  0.308  0.749
Li  0.425  0.707  0.500
Li  0.575  0.293  0.000
Li  0.661  0.692  0.249
Li  0.839  0.192  0.749
Li  0.925  0.793  0.500
Mg  0.166  0.808  0.746
Mg  0.334  0.308  0.246
Mg  0.666  0.692  0.746
Mg  0.834  0.192  0.246
Si  0.086  0.312  0.498
Si  0.414  0.812  0.998
Si  0.586  0.188  0.498
Si  0.914  0.688  0.998
O  0.058  0.794  0.996
O  0.090  0.643  0.499
O  0.159  0.205  0.282
O  0.161  0.205  0.712
O  0.339  0.705  0.212
O  0.341  0.705  0.782
O  0.410  0.143  0.999
O  0.442  0.294  0.496
O  0.558  0.706  0.996
O  0.590  0.857  0.499
O  0.659  0.295  0.282
O  0.661  0.295  0.712
O  0.839  0.795  0.212
O  0.841  0.795  0.782
O  0.910  0.357  0.999
O  0.942  0.206  0.496

Computed properties:
ΔE_f (raw) ... -2.8475 eV/atom
SG ... No. 33
Total energy ... -8.434 eV per atom
Spin magnetization ... 0.0 μB per formula unit
Fermi-level density of states ... 0.000 states/eV/atom

***

First-principles (SCAN) data for a crystal of Li2MgSiO4 relaxed with PBEsol, as listed in Alexandria.

Unit cell a=4.983 b=10.700 c=7.975 alpha=90.00 beta=128.02 gamma=90.00
Fractional positions:
Li  0.033  0.075  0.237
Li  0.033  0.425  0.737
Li  0.188  0.162  0.997
Li  0.188  0.338  0.497
Li  0.812  0.662  0.503
Li  0.812  0.838  0.003
Li  0.967  0.575  0.263
Li  0.967  0.925  0.763
Mg  0.308  0.665  0.000
Mg  0.308  0.835  0.500
Mg  0.692  0.165  0.500
Mg  0.692  0.335  0.000
Si  0.436  0.087  0.749
Si  0.436  0.413  0.249
Si  0.564  0.587  0.751
Si  0.564  0.913  0.251
O  0.105  0.090  0.749
O  0.105  0.410  0.249
O  0.244  0.661  0.538
O  0.244  0.839  0.038
O  0.327  0.159  0.532
O  0.327  0.341  0.032
O  0.455  0.058  0.248
O  0.455  0.442  0.748
O  0.545  0.558  0.252
O  0.545  0.942  0.752
O  0.673  0.659  0.968
O  0.673  0.841  0.468
O  0.756  0.161  0.962
O  0.756  0.339  0.462
O  0.895  0.590  0.751
O  0.895  0.910  0.251

Computed properties:
ΔE_f (raw) ... -2.8484 eV/atom
SG ... No. 14
Total energy ... -8.435 eV per atom
Spin magnetization ... 0.0 μB per formula unit
Fermi-level density of states ... 0.000 states/eV/atom

***

First-principles (SCAN) data for a crystal of Li3Mg3Ti6O16 relaxed with PBEsol, as listed in Alexandria.

Unit cell a=8.371 b=8.376 c=8.385 alpha=90.00 beta=90.01 gamma=90.00
Fractional positions:
Li  0.124  0.000  0.375
Li  0.249  0.877  0.000
Li  0.374  0.253  0.874
Li  0.626  0.753  0.126
Li  0.751  0.377  0.000
Li  0.876  0.500  0.625
Mg  0.001  0.626  0.249
Mg  0.252  0.375  0.497
Mg  0.499  0.628  0.750
Mg  0.501  0.128  0.250
Mg  0.748  0.875  0.503
Mg  0.999  0.126  0.751
Ti  0.118  0.502  0.873
Ti  0.120  0.745  0.628
Ti  0.128  0.246  0.117
Ti  0.366  0.007  0.629
Ti  0.369  0.757  0.363
Ti  0.384  0.502  0.116
Ti  0.616  0.002  0.884
Ti  0.631  0.257  0.637
Ti  0.634  0.507  0.371
Ti  0.872  0.746  0.883
Ti  0.880  0.245  0.372
Ti  0.882  0.002  0.127
O  0.106  0.252  0.361
O  0.109  0.019  0.125
O  0.110  0.743  0.864
O  0.127  0.267  0.887
O  0.127  0.512  0.640
O  0.139  0.490  0.115
O  0.142  0.749  0.392
O  0.144  0.989  0.624
O  0.358  0.268  0.127
O  0.361  0.504  0.893
O  0.363  0.764  0.614
O  0.375  0.736  0.144
O  0.380  0.982  0.390
O  0.387  0.514  0.363
O  0.391  0.232  0.620
O  0.393  0.000  0.857
O  0.607  0.500  0.143
O  0.609  0.732  0.380
O  0.613  0.014  0.637
O  0.620  0.482  0.610
O  0.625  0.236  0.856
O  0.637  0.264  0.386
O  0.639  0.004  0.107
O  0.642  0.768  0.873
O  0.856  0.489  0.376
O  0.858  0.249  0.608
O  0.861  0.990  0.885
O  0.873  0.012  0.360
O  0.873  0.767  0.113
O  0.890  0.243  0.136
O  0.891  0.519  0.875
O  0.894  0.752  0.639

Computed properties:
ΔE_f (raw) ... -3.1240 eV/atom
SG ... No. 4
Total energy ... -10.909 eV per atom
Spin magnetization ... 1.1 μB per formula unit
Fermi-level density of states ... 0.083 states/eV/atom

***

First-principles (SCAN) data for a crystal of Li2Mg3Ti6O16 relaxed with PBEsol, as listed in Alexandria.

Unit cell a=8.368 b=8.392 c=8.383 alpha=90.00 beta=90.41 gamma=90.00
Fractional positions:
Li  0.002  0.000  0.246
Li  0.374  0.631  0.874
Li  0.626  0.131  0.126
Li  0.998  0.500  0.754
Mg  0.247  0.255  0.994
Mg  0.253  0.761  0.498
Mg  0.496  0.007  0.748
Mg  0.504  0.507  0.252
Mg  0.747  0.261  0.502
Mg  0.753  0.755  0.006
Ti  0.114  0.132  0.613
Ti  0.118  0.870  0.867
Ti  0.128  0.626  0.125
Ti  0.361  0.390  0.623
Ti  0.366  0.139  0.370
Ti  0.376  0.882  0.120
Ti  0.624  0.382  0.880
Ti  0.634  0.639  0.630
Ti  0.639  0.890  0.377
Ti  0.872  0.126  0.875
Ti  0.882  0.370  0.133
Ti  0.886  0.632  0.387
O  0.107  0.645  0.357
O  0.110  0.117  0.863
O  0.110  0.402  0.112
O  0.122  0.651  0.891
O  0.141  0.867  0.110
O  0.143  0.117  0.395
O  0.143  0.900  0.648
O  0.146  0.360  0.640
O  0.357  0.645  0.130
O  0.362  0.885  0.895
O  0.365  0.145  0.611
O  0.372  0.118  0.142
O  0.387  0.896  0.360
O  0.389  0.360  0.392
O  0.389  0.611  0.621
O  0.396  0.377  0.860
O  0.604  0.877  0.140
O  0.611  0.111  0.379
O  0.611  0.860  0.608
O  0.613  0.396  0.640
O  0.628  0.618  0.858
O  0.635  0.645  0.389
O  0.638  0.385  0.105
O  0.643  0.145  0.870
O  0.854  0.860  0.360
O  0.857  0.400  0.352
O  0.857  0.617  0.605
O  0.859  0.367  0.890
O  0.878  0.151  0.109
O  0.890  0.617  0.137
O  0.890  0.902  0.888
O  0.893  0.145  0.643

Computed properties:
ΔE_f (raw) ... -3.1697 eV/atom
SG ... No. 4
Total energy ... -11.154 eV per atom
Spin magnetization ... 0.0 μB per formula unit
Fermi-level density of states ... 0.000 states/eV/atom

***

First-principles (SCAN) data for a crystal of Li2MgTi9O20 relaxed with PBEsol, as listed in Alexandria.

Unit cell a=5.183 b=9.917 c=7.407 alpha=90.00 beta=109.82 gamma=90.00
Fractional positions:
Li  0.000  0.000  0.000
Li  0.064  0.500  0.306
Mg  0.586  0.500  0.810
Ti  0.084  0.317  0.974
Ti  0.084  0.683  0.974
Ti  0.482  0.185  0.845
Ti  0.482  0.815  0.845
Ti  0.484  0.000  0.506
Ti  0.576  0.320  0.474
Ti  0.576  0.680  0.474
Ti  0.979  0.189  0.332
Ti  0.979  0.811  0.332
O  0.132  0.000  0.312
O  0.212  0.136  0.926
O  0.212  0.864  0.926
O  0.255  0.301  0.249
O  0.255  0.699  0.249
O  0.318  0.183  0.561
O  0.318  0.817  0.561
O  0.354  0.364  0.881
O  0.354  0.636  0.881
O  0.463  0.500  0.512
O  0.603  0.000  0.777
O  0.709  0.128  0.432
O  0.709  0.872  0.432
O  0.754  0.311  0.749
O  0.754  0.689  0.749
O  0.805  0.185  0.066
O  0.805  0.815  0.066
O  0.852  0.359  0.385
O  0.852  0.641  0.385
O  0.969  0.500  0.012

Computed properties:
ΔE_f (raw) ... -3.2310 eV/atom
SG ... No. 6
Total energy ... -11.939 eV per atom
Spin magnetization ... 0.0 μB per formula unit
Fermi-level density of states ... 0.000 states/eV/atom

***

First-principles (SCAN) data for a crystal of LiMg30TiO32 relaxed with PBEsol, as listed in Alexandria.

Unit cell a=8.422 b=8.422 c=8.427 alpha=90.00 beta=90.00 gamma=90.00
Fractional positions:
Li  0.000  0.000  0.000
Mg  0.000  0.000  0.500
Mg  0.000  0.246  0.247
Mg  0.000  0.246  0.753
Mg  0.000  0.500  0.000
Mg  0.000  0.500  0.500
Mg  0.000  0.754  0.247
Mg  0.000  0.754  0.753
Mg  0.244  0.244  0.000
Mg  0.244  0.756  0.000
Mg  0.246  0.000  0.247
Mg  0.246  0.000  0.753
Mg  0.247  0.500  0.252
Mg  0.247  0.500  0.748
Mg  0.249  0.249  0.500
Mg  0.249  0.751  0.500
Mg  0.500  0.000  0.000
Mg  0.500  0.000  0.500
Mg  0.500  0.247  0.252
Mg  0.500  0.247  0.748
Mg  0.500  0.500  0.500
Mg  0.500  0.753  0.252
Mg  0.500  0.753  0.748
Mg  0.751  0.249  0.500
Mg  0.751  0.751  0.500
Mg  0.753  0.500  0.252
Mg  0.753  0.500  0.748
Mg  0.754  0.000  0.247
Mg  0.754  0.000  0.753
Mg  0.756  0.244  0.000
Mg  0.756  0.756  0.000
Ti  0.500  0.500  0.000
O  0.000  0.000  0.255
O  0.000  0.000  0.745
O  0.000  0.252  0.500
O  0.000  0.258  0.000
O  0.000  0.500  0.250
O  0.000  0.500  0.750
O  0.000  0.742  0.000
O  0.000  0.748  0.500
O  0.251  0.251  0.249
O  0.251  0.251  0.751
O  0.251  0.500  0.500
O  0.251  0.749  0.249
O  0.251  0.749  0.751
O  0.252  0.000  0.500
O  0.257  0.500  0.000
O  0.258  0.000  0.000
O  0.500  0.000  0.250
O  0.500  0.000  0.750
O  0.500  0.251  0.500
O  0.500  0.257  0.000
O  0.500  0.500  0.249
O  0.500  0.500  0.751
O  0.500  0.743  0.000
O  0.500  0.749  0.500
O  0.742  0.000  0.000
O  0.743  0.500  0.000
O  0.748  0.000  0.500
O  0.749  0.251  0.249
O  0.749  0.251  0.751
O  0.749  0.500  0.500
O  0.749  0.749  0.249
O  0.749  0.749  0.751

Computed properties:
ΔE_f (raw) ... -2.9905 eV/atom
SG ... No. 123
Total energy ... -8.725 eV per atom
Spin magnetization ... 1.0 μB per formula unit
Fermi-level density of states ... 0.109 states/eV/atom

***

First-principles (SCAN) data for a crystal of LiMg30WO32 relaxed with PBEsol, as listed in Alexandria.

Unit cell a=8.434 b=8.434 c=8.443 alpha=90.00 beta=90.00 gamma=90.00
Fractional positions:
Li  0.000  0.000  0.000
Mg  0.000  0.250  0.243
Mg  0.000  0.250  0.757
Mg  0.000  0.500  0.000
Mg  0.000  0.500  0.500
Mg  0.000  0.750  0.243
Mg  0.000  0.750  0.757
Mg  0.247  0.247  0.000
Mg  0.247  0.753  0.000
Mg  0.250  0.000  0.243
Mg  0.250  0.000  0.757
Mg  0.250  0.500  0.249
Mg  0.250  0.500  0.751
Mg  0.253  0.253  0.500
Mg  0.253  0.747  0.500
Mg  0.500  0.000  0.000
Mg  0.500  0.000  0.500
Mg  0.500  0.250  0.249
Mg  0.500  0.250  0.751
Mg  0.500  0.500  0.000
Mg  0.500  0.500  0.500
Mg  0.500  0.750  0.249
Mg  0.500  0.750  0.751
Mg  0.747  0.253  0.500
Mg  0.747  0.747  0.500
Mg  0.750  0.000  0.243
Mg  0.750  0.000  0.757
Mg  0.750  0.500  0.249
Mg  0.750  0.500  0.751
Mg  0.753  0.247  0.000
Mg  0.753  0.753  0.000
W  0.000  0.000  0.500
O  0.000  0.000  0.251
O  0.000  0.000  0.749
O  0.000  0.252  0.500
O  0.000  0.256  0.000
O  0.000  0.500  0.252
O  0.000  0.500  0.748
O  0.000  0.744  0.000
O  0.000  0.748  0.500
O  0.249  0.249  0.251
O  0.249  0.249  0.749
O  0.249  0.751  0.251
O  0.249  0.751  0.749
O  0.250  0.500  0.500
O  0.251  0.500  0.000
O  0.252  0.000  0.500
O  0.256  0.000  0.000
O  0.500  0.000  0.252
O  0.500  0.000  0.748
O  0.500  0.250  0.500
O  0.500  0.251  0.000
O  0.500  0.500  0.251
O  0.500  0.500  0.749
O  0.500  0.749  0.000
O  0.500  0.750  0.500
O  0.744  0.000  0.000
O  0.748  0.000  0.500
O  0.749  0.500  0.000
O  0.750  0.500  0.500
O  0.751  0.249  0.251
O  0.751  0.249  0.749
O  0.751  0.751  0.251
O  0.751  0.751  0.749

Computed properties:
ΔE_f (raw) ... -2.9101 eV/atom
SG ... No. 123
Total energy ... -9.483 eV per atom
Spin magnetization ... 3.0 μB per formula unit
Fermi-level density of states ... 0.000 states/eV/atom

***

First-principles (SCAN) data for a crystal of LiYMg14O16 relaxed with PBEsol, as listed in Alexandria.

Unit cell a=8.533 b=8.533 c=4.268 alpha=90.00 beta=90.00 gamma=90.00
Fractional positions:
Li  0.000  0.000  0.000
Y  0.500  0.500  0.000
Mg  0.000  0.242  0.500
Mg  0.000  0.500  0.000
Mg  0.000  0.758  0.500
Mg  0.236  0.500  0.500
Mg  0.238  0.238  0.000
Mg  0.238  0.762  0.000
Mg  0.242  0.000  0.500
Mg  0.500  0.000  0.000
Mg  0.500  0.236  0.500
Mg  0.500  0.764  0.500
Mg  0.758  0.000  0.500
Mg  0.762  0.238  0.000
Mg  0.762  0.762  0.000
Mg  0.764  0.500  0.500
O  0.000  0.000  0.500
O  0.000  0.257  0.000
O  0.000  0.500  0.500
O  0.000  0.743  0.000
O  0.242  0.500  0.000
O  0.252  0.252  0.500
O  0.252  0.748  0.500
O  0.257  0.000  0.000
O  0.500  0.000  0.500
O  0.500  0.242  0.000
O  0.500  0.500  0.500
O  0.500  0.758  0.000
O  0.743  0.000  0.000
O  0.748  0.252  0.500
O  0.748  0.748  0.500
O  0.758  0.500  0.000

Computed properties:
ΔE_f (raw) ... -2.9890 eV/atom
SG ... No. 123
Total energy ... -9.225 eV per atom
Spin magnetization ... 0.0 μB per formula unit
Fermi-level density of states ... 0.000 states/eV/atom

***

Q: Which value of spin magnetization does entry 5 give?
A: 0.0 μB per formula unit